A plane-wave DFT calculation with PBE was carried out for DyLuAlIr after structural relaxation.

Cell and atoms, written as POSCAR:
```
DyLuAlIr
1.0
0.0000 3.4780 3.4780
3.4780 0.0000 3.4780
3.4780 3.4780 0.0000
Dy Lu Al Ir
1 1 1 1
Direct
0.0000 0.0000 0.0000
0.5000 0.5000 0.5000
0.2500 0.2500 0.2500
0.7500 0.7500 0.7500
```

DFT total energy	-6.04	eV/atom
space group	No. 216
size of the total moment	0.000	μB per cell
mass density	10.99	g cm⁻³
energy of formation	-604.7	meV/atom